1.
Pm3ZnSn3 (PBE, relaxed); crystal system = monoclinic; spin magnetization = 0.15 μB per cell; DFT formation energy = -4.8 eV/f.u.; N(E_F) = 5.29 states/eV/f.u.; VASP energy = -4.620 eV/atom
1.0
5.817 -2.274 0.000
5.817 2.274 0.000
-4.836 0.000 14.401
Pm Zn Sn
6 2 6
Direct
0.019 0.019 0.381 Pm
0.102 0.102 0.921 Pm
0.235 0.235 0.230 Pm
0.765 0.765 0.770 Pm
0.898 0.898 0.079 Pm
0.981 0.981 0.619 Pm
0.275 0.275 0.618 Zn
0.725 0.725 0.382 Zn
0.352 0.352 0.455 Sn
0.377 0.377 0.924 Sn
0.487 0.487 0.769 Sn
0.513 0.513 0.231 Sn
0.623 0.623 0.076 Sn
0.648 0.648 0.545 Sn

2.
Pm3Zn2Sn2 (PBE, relaxed); crystal system = orthorhombic; spin magnetization = 0.00 μB per cell; DFT formation energy = -4.2 eV/f.u.; N(E_F) = 6.26 states/eV/f.u.; VASP energy = -4.141 eV/atom
1.0
-2.207 2.215 9.543
2.207 -2.215 9.543
2.207 2.215 -9.543
Pm Zn Sn
3 2 2
Direct
0.000 0.000 0.000 Pm
0.183 0.683 0.500 Pm
0.817 0.317 0.500 Pm
0.437 0.437 0.000 Zn
0.563 0.563 0.000 Zn
0.355 0.855 0.500 Sn
0.645 0.145 0.500 Sn

3.
Pm3ZnSn (PBE, relaxed); crystal system = orthorhombic; spin magnetization = 0.00 μB per cell; DFT formation energy = -1.6 eV/f.u.; N(E_F) = 5.88 states/eV/f.u.; VASP energy = -4.234 eV/atom
1.0
4.547 0.000 0.000
0.000 6.834 0.000
0.000 0.000 9.802
Pm Zn Sn
6 2 2
Direct
0.250 0.016 0.179 Pm
0.250 0.250 0.579 Pm
0.250 0.484 0.179 Pm
0.750 0.516 0.821 Pm
0.750 0.750 0.421 Pm
0.750 0.984 0.821 Pm
0.250 0.250 0.906 Zn
0.750 0.750 0.094 Zn
0.250 0.750 0.643 Sn
0.750 0.250 0.357 Sn

4.
Pm12ZnSn7 (PBE, relaxed); crystal system = trigonal; spin magnetization = 0.00 μB per cell; DFT formation energy = -9.7 eV/f.u.; N(E_F) = 22.01 states/eV/f.u.; VASP energy = -4.799 eV/atom
1.0
7.373 4.257 3.239
-7.373 4.257 3.239
0.000 -8.513 3.239
Pm Zn Sn
12 1 7
Direct
0.111 0.291 0.828 Pm
0.166 0.466 0.256 Pm
0.172 0.889 0.709 Pm
0.256 0.166 0.466 Pm
0.291 0.828 0.111 Pm
0.466 0.256 0.166 Pm
0.534 0.744 0.834 Pm
0.709 0.172 0.889 Pm
0.744 0.834 0.534 Pm
0.828 0.111 0.291 Pm
0.834 0.534 0.744 Pm
0.889 0.709 0.172 Pm
0.500 0.500 0.500 Zn
0.000 0.000 0.000 Sn
0.142 0.487 0.609 Sn
0.391 0.858 0.513 Sn
0.487 0.609 0.142 Sn
0.513 0.391 0.858 Sn
0.609 0.142 0.487 Sn
0.858 0.513 0.391 Sn

5.
Pm8ZnSn6 (PBE, relaxed); crystal system = trigonal; spin magnetization = 0.00 μB per cell; DFT formation energy = -8.6 eV/f.u.; N(E_F) = 5.94 states/eV/f.u.; VASP energy = -4.790 eV/atom
1.0
4.687 2.706 6.384
-4.687 2.706 6.384
0.000 -5.412 6.384
Pm Zn Sn
8 1 6
Direct
0.130 0.687 0.398 Pm
0.167 0.167 0.167 Pm
0.313 0.602 0.870 Pm
0.398 0.130 0.687 Pm
0.602 0.870 0.313 Pm
0.687 0.398 0.130 Pm
0.833 0.833 0.833 Pm
0.870 0.313 0.602 Pm
0.500 0.500 0.500 Zn
0.054 0.431 0.796 Sn
0.204 0.946 0.569 Sn
0.431 0.796 0.054 Sn
0.569 0.204 0.946 Sn
0.796 0.054 0.431 Sn
0.946 0.569 0.204 Sn

6.
Pm2ZnSn3 (PBE, relaxed); crystal system = orthorhombic; spin magnetization = 0.00 μB per cell; DFT formation energy = -1.7 eV/f.u.; N(E_F) = 3.03 states/eV/f.u.; VASP energy = -4.075 eV/atom
1.0
-2.117 2.561 8.177
2.117 -2.561 8.177
2.117 2.561 -8.177
Pm Zn Sn
2 1 3
Direct
0.149 0.149 0.000 Pm
0.851 0.851 0.000 Pm
0.500 0.500 0.000 Zn
0.000 0.500 0.500 Sn
0.339 0.339 0.000 Sn
0.661 0.661 0.000 Sn

7.
Pm3Zn2Sn4 (PBE, relaxed); crystal system = monoclinic; spin magnetization = 0.00 μB per cell; DFT formation energy = -5.0 eV/f.u.; N(E_F) = 3.03 states/eV/f.u.; VASP energy = -4.206 eV/atom
1.0
5.910 -2.270 0.000
5.910 2.270 0.000
-2.206 0.000 8.698
Pm Zn Sn
3 2 4
Direct
0.000 0.000 0.000 Pm
0.340 0.340 0.333 Pm
0.660 0.660 0.667 Pm
0.434 0.434 0.757 Zn
0.566 0.566 0.243 Zn
0.080 0.080 0.399 Sn
0.274 0.274 0.915 Sn
0.726 0.726 0.085 Sn
0.920 0.920 0.601 Sn

8.
Pm6ZnSn12 (PBE, relaxed); crystal system = trigonal; spin magnetization = 0.00 μB per cell; DFT formation energy = -4.1 eV/f.u.; N(E_F) = 11.58 states/eV/f.u.; VASP energy = -4.310 eV/atom
1.0
6.539 3.775 4.284
-6.539 3.775 4.284
0.000 -7.551 4.284
Pm Zn Sn
6 1 12
Direct
0.020 0.609 0.772 Pm
0.228 0.980 0.391 Pm
0.391 0.228 0.980 Pm
0.609 0.772 0.020 Pm
0.772 0.020 0.609 Pm
0.980 0.391 0.228 Pm
0.500 0.500 0.500 Zn
0.031 0.269 0.876 Sn
0.124 0.969 0.731 Sn
0.223 0.635 0.488 Sn
0.269 0.876 0.031 Sn
0.365 0.512 0.777 Sn
0.488 0.223 0.635 Sn
0.512 0.777 0.365 Sn
0.635 0.488 0.223 Sn
0.731 0.124 0.969 Sn
0.777 0.365 0.512 Sn
0.876 0.031 0.269 Sn
0.969 0.731 0.124 Sn

9.
Pm6ZnSn5 (PBE, relaxed); crystal system = orthorhombic; spin magnetization = 0.00 μB per cell; DFT formation energy = -7.1 eV/f.u.; N(E_F) = 10.86 states/eV/f.u.; VASP energy = -4.743 eV/atom
1.0
-2.853 3.426 8.590
2.853 -3.426 8.590
2.853 3.426 -8.590
Pm Zn Sn
6 1 5
Direct
0.079 0.332 0.747 Pm
0.245 0.000 0.245 Pm
0.415 0.668 0.747 Pm
0.585 0.332 0.253 Pm
0.755 0.000 0.755 Pm
0.921 0.668 0.253 Pm
0.500 0.500 0.000 Zn
0.000 0.500 0.500 Sn
0.168 0.168 0.000 Sn
0.339 0.839 0.500 Sn
0.661 0.161 0.500 Sn
0.832 0.832 0.000 Sn

10.
Pm12ZnSn6 (PBE, relaxed); crystal system = trigonal; spin magnetization = 0.00 μB per cell; DFT formation energy = -6.5 eV/f.u.; N(E_F) = 21.75 states/eV/f.u.; VASP energy = -4.675 eV/atom
1.0
6.823 3.939 4.181
-6.823 3.939 4.181
0.000 -7.879 4.181
Pm Zn Sn
12 1 6
Direct
0.034 0.678 0.946 Pm
0.054 0.966 0.322 Pm
0.192 0.423 0.562 Pm
0.322 0.054 0.966 Pm
0.423 0.562 0.192 Pm
0.438 0.808 0.577 Pm
0.562 0.192 0.423 Pm
0.577 0.438 0.808 Pm
0.678 0.946 0.034 Pm
0.808 0.577 0.438 Pm
0.946 0.034 0.678 Pm
0.966 0.322 0.054 Pm
0.000 0.000 0.000 Zn
0.124 0.628 0.311 Sn
0.311 0.124 0.628 Sn
0.372 0.689 0.876 Sn
0.628 0.311 0.124 Sn
0.689 0.876 0.372 Sn
0.876 0.372 0.689 Sn

11.
PmZrZnSn (PBE, relaxed); crystal system = cubic; spin magnetization = 0.37 μB per cell; DFT formation energy = -1.3 eV/f.u.; N(E_F) = 3.98 states/eV/f.u.; VASP energy = -4.959 eV/atom
1.0
0.000 3.610 3.610
3.610 0.000 3.610
3.610 3.610 0.000
Pm Zr Zn Sn
1 1 1 1
Direct
0.000 0.000 0.000 Pm
0.500 0.500 0.500 Zr
0.250 0.250 0.250 Zn
0.750 0.750 0.750 Sn

12.
Pm4ZrSn5 (PBE, relaxed); crystal system = tetragonal; spin magnetization = 0.00 μB per cell; DFT formation energy = -5.2 eV/f.u.; N(E_F) = 6.68 states/eV/f.u.; VASP energy = -5.272 eV/atom
1.0
-4.936 4.936 3.124
4.936 -4.936 3.124
4.936 4.936 -3.124
Pm Zr Sn
4 1 5
Direct
0.093 0.697 0.790 Pm
0.303 0.093 0.396 Pm
0.697 0.907 0.604 Pm
0.907 0.303 0.210 Pm
0.500 0.500 0.000 Zr
0.000 0.000 0.000 Sn
0.217 0.403 0.620 Sn
0.403 0.783 0.186 Sn
0.597 0.217 0.814 Sn
0.783 0.597 0.380 Sn